1.
The following is a PBE calculation of crystalline Li2CuP at its relaxed geometry, from Alexandria.

Cell: 4.029 4.029 7.738 Å, 90.00 90.00 120.00°
Atoms (fractional coordinates):
Li1 0.333 0.667 0.084
Li2 0.333 0.667 0.416
Li3 0.667 0.333 0.584
Li4 0.667 0.333 0.916
Cu1 0.000 0.000 0.250
Cu2 0.000 0.000 0.750
P1 0.333 0.667 0.750
P2 0.667 0.333 0.250

Calculated values
Symmetry: P6_3/mmc, No. 194
Calculated formation energy, eV per atom: -0.564


2.
The following is a PBE calculation of crystalline Ru2PtCl at its relaxed geometry, from Alexandria.

Cell: 8.880 2.809 7.535 Å, 90.00 123.98 90.00°
Atoms (fractional coordinates):
Ru1 0.200 0.000 0.335
Ru2 0.300 0.500 0.665
Ru3 0.700 0.500 0.335
Ru4 0.800 0.000 0.665
Pt1 0.000 0.000 0.500
Pt2 0.500 0.500 0.500
Cl1 0.000 0.500 0.000
Cl2 0.500 0.000 0.000

Calculated values
Offset from the most stable computed form, meV per atom: 130
Symmetry: C2/m, No. 12
Formation energy (no corrections), meV/atom: 416.8


3.
The following is a PBE calculation of crystalline Er2ThScSb4 at its relaxed geometry, from Alexandria.

Cell: 7.520 4.367 7.553 Å, 90.00 109.50 90.00°
Atoms (fractional coordinates):
Er1 0.000 0.000 0.000
Er2 0.500 0.500 0.000
Th1 0.000 0.500 0.500
Sc1 0.500 0.000 0.500
Sb1 0.262 0.000 0.754
Sb2 0.262 0.500 0.254
Sb3 0.738 0.000 0.246
Sb4 0.738 0.500 0.746

Calculated values
Symmetry: P2/m, No. 10
Formation energy (no corrections), meV/atom: -998.5


4.
The following is a PBE calculation of crystalline Na2TaSi at its relaxed geometry, from Alexandria.

Cell: 8.449 8.449 5.179 Å, 90.00 90.00 90.00°
Atoms (fractional coordinates):
Na1 0.211 0.250 0.125
Na2 0.250 0.711 0.375
Na3 0.250 0.789 0.875
Na4 0.289 0.250 0.625
Na5 0.711 0.750 0.625
Na6 0.750 0.211 0.875
Na7 0.750 0.289 0.375
Na8 0.789 0.750 0.125
Ta1 0.000 0.000 0.500
Ta2 0.000 0.500 0.750
Ta3 0.500 0.000 0.250
Ta4 0.500 0.500 0.000
Si1 0.000 0.000 0.000
Si2 0.000 0.500 0.250
Si3 0.500 0.000 0.750
Si4 0.500 0.500 0.500

Calculated values
Symmetry: I-42d, No. 122
Formation energy (no corrections), meV/atom: 991.3


Respective D(E_F) values: 0.076, 1.398, 0.224, 0.863 states/eV/atom.